Run 1
DyYGaRu | Alexandria via LeMat-Bulk | PBE | relaxed; density = 8.232 g/cm3
1.0
-4.829 -0.814 -0.639
-1.747 -1.094 -4.488
-1.628 -4.560 -0.972
Y Ru Ga Dy
1 1 1 1
Direct
0.000 0.000 0.000
0.750 0.750 0.750
0.250 0.250 0.250
0.500 0.500 0.500

Run 2
DyYGaRu | Alexandria via LeMat-Bulk | PBE | relaxed; density = 7.765 g/cm3
1.0
3.902 0.000 0.000
0.000 4.299 0.000
-1.951 0.000 5.382
Dy Y Ga Ru
1 1 1 1
Direct
0.141 0.000 0.282
0.856 0.500 0.713
0.433 0.000 0.867
0.569 0.500 0.139

Quick one: most stable of them? run 2

Run 1
Dy2GaS | Alexandria via LeMat-Bulk | PBE | relaxed; density = 7.508 g/cm3
1.0
-2.937 1.784 1.562
-3.457 -0.426 -1.454
-3.327 -5.543 4.636
Dy Ga S
2 1 1
Direct
0.072 0.072 0.783
0.260 0.260 0.219
0.499 0.499 0.502
0.668 0.668 0.996

Run 2
Dy2GaS | Alexandria via LeMat-Bulk | PBE | relaxed; density = 7.881 g/cm3
1.0
-1.177 0.396 3.757
0.899 -3.982 0.701
9.753 4.804 2.550
Dy Ga S
4 2 2
Direct
0.750 0.683 0.367
0.250 0.317 0.633
0.750 0.931 0.862
0.250 0.069 0.138
0.250 0.460 0.920
0.750 0.540 0.080
0.250 0.193 0.385
0.750 0.807 0.615

Run 3
Dy2GaS | Alexandria via LeMat-Bulk | PBE | relaxed; density = 7.619 g/cm3
1.0
3.859 0.000 0.000
1.930 3.342 0.000
1.930 1.114 7.212
S Ga Dy
1 1 2
Direct
0.000 0.000 0.000
0.500 0.500 0.500
0.744 0.744 0.768
0.256 0.256 0.232

Quick one: most stable of them? run 2

Run 1
DyGaSb | Alexandria via LeMat-Bulk | PBE | relaxed; density = 7.802 g/cm3
1.0
3.904 0.000 0.000
0.000 4.720 0.000
0.000 -2.360 4.088
Sb Ga Dy
1 1 1
Direct
0.225 0.333 0.667
0.087 0.000 0.000
0.688 0.667 0.333

Run 2
DyGaSb | Alexandria via LeMat-Bulk | PBE | relaxed; density = 7.793 g/cm3
1.0
-4.029 -1.509 0.112
-0.789 -4.108 -1.014
-0.438 -4.320 8.704
Dy Sb Ga
2 2 2
Direct
0.571 0.571 0.288
0.429 0.429 0.712
0.303 0.303 0.092
0.697 0.697 0.908
0.843 0.843 0.471
0.157 0.157 0.529

Quick one: most stable of them? run 2

Run 1
Dy2GaSb | Alexandria via LeMat-Bulk | PBE | relaxed; density = 7.682 g/cm3
1.0
-1.875 1.769 -3.250
-2.144 -2.331 -2.680
-7.530 0.789 2.126
Sb Ga Dy
1 1 2
Direct
0.500 0.500 0.500
0.000 0.000 0.000
0.249 0.249 0.252
0.751 0.751 0.748

Run 2
Dy2GaSb | Alexandria via LeMat-Bulk | PBE | relaxed; density = 7.898 g/cm3
1.0
-0.714 3.596 -2.124
-3.633 -1.753 -1.746
-4.445 4.927 9.836
Dy Ga Sb
4 2 2
Direct
0.750 0.678 0.355
0.250 0.322 0.645
0.750 0.940 0.879
0.250 0.060 0.121
0.250 0.464 0.927
0.750 0.536 0.073
0.250 0.189 0.379
0.750 0.811 0.621

Quick one: most stable of them? run 2